Entry 1:
Here is crystalline YHo12Tm3 at its relaxed geometry from Alexandria. Energies are from PBE.

Structure (extended XYZ):
```
16
Lattice="4.9792 0.0000 0.0000 0.0000 4.9792 0.0000 0.0000 0.0000 19.9084" Properties=species:S:1:pos:R:3 pbc="T T T"
Y 0.0000 0.0000 0.0000
Ho 0.0000 2.4896 2.5131
Ho 0.0000 2.4896 7.4744
Ho 0.0000 2.4896 12.4340
Ho 0.0000 2.4896 17.3953
Ho 2.4896 0.0000 2.5131
Ho 2.4896 0.0000 7.4744
Ho 2.4896 0.0000 12.4340
Ho 2.4896 0.0000 17.3953
Ho 2.4896 2.4896 0.0000
Ho 2.4896 2.4896 4.9958
Ho 2.4896 2.4896 9.9542
Ho 2.4896 2.4896 14.9126
Tm 0.0000 0.0000 4.9921
Tm 0.0000 0.0000 9.9542
Tm 0.0000 0.0000 14.9163
```

## Properties
The density comes out at 8.7 g/cm³. The formation energy is 22 meV/atom. Its density of states at the Fermi level is 20.975 states/eV per cell.

Entry 2:
Here is crystalline AlPtRh at its relaxed geometry from Alexandria. Energies are from PBE.

Structure (extended XYZ):
```
3
Lattice="0.0000 2.9829 2.9829 2.9829 0.0000 2.9829 2.9829 2.9829 0.0000" Properties=species:S:1:pos:R:3 pbc="T T T"
Al 0.0000 0.0000 0.0000
Pt 4.4743 4.4743 4.4743
Rh 2.9829 2.9829 2.9829
```

## Properties
The density comes out at 10.2 g/cm³. Its distance to the lowest polymorph of the same formula is 0.4613 eV/atom. The formation energy is -274 meV/atom. Its density of states at the Fermi level is 4.871 states/eV per cell.

Entry 3:
Here is crystalline MgV2InTe at its relaxed geometry from Alexandria. Energies are from PBE.

Structure (extended XYZ):
```
5
Lattice="5.1525 0.0000 0.0000 0.0000 5.1525 0.0000 0.0000 0.0000 5.2315" Properties=species:S:1:pos:R:3 pbc="T T T"
Mg 0.0000 0.0000 0.0000
V 0.0000 2.5762 0.0000
V 2.5762 0.0000 0.0000
In 2.5762 2.5762 2.6157
Te 0.0000 0.0000 2.6157
```

## Properties
The density comes out at 4.4 g/cm³. The formation energy without anion corrections is 1.227 eV per atom. Its density of states at the Fermi level is 8.992 states/eV per cell.

Entry 4:
Here is crystalline Sr3Ir at its relaxed geometry from Alexandria. Energies are from PBE.

Structure (extended XYZ):
```
4
Lattice="-1.8813 2.7040 7.4718 1.8813 -2.7040 7.4718 1.8813 2.7040 -7.4718" Properties=species:S:1:pos:R:3 pbc="T T T"
Sr 0.0000 0.0000 0.0000
Sr 1.8813 0.0000 5.0940
Sr 0.0000 2.7040 2.3779
Ir 0.0000 0.0000 7.4718
```

## Properties
The density comes out at 5.0 g/cm³. The formation energy is -26 meV/atom. Its density of states at the Fermi level is 3.384 states/eV per cell.

Entry 5:
Here is crystalline BaCaEuSbO6 at its relaxed geometry from Alexandria. Energies are from PBE.

Structure (extended XYZ):
```
10
Lattice="0.0000 4.2567 4.2567 4.2567 0.0000 4.2567 4.2567 4.2567 0.0000" Properties=species:S:1:pos:R:3 pbc="T T T"
Ba 0.0000 0.0000 0.0000
Ca 4.2567 4.2567 4.2567
Eu 2.1284 2.1284 2.1284
Sb 6.3851 6.3851 6.3851
O 6.3851 6.3851 4.3866
O 6.3851 4.3866 6.3851
O 8.3836 6.3851 6.3851
O 4.3866 6.3851 6.3851
O 6.3851 8.3836 6.3851
O 6.3851 6.3851 8.3836
```

## Properties
The density comes out at 5.9 g/cm³. Its distance to the lowest polymorph of the same formula is 0.0708 eV/atom. The formation energy without anion corrections is -2.332 eV per atom. Its density of states at the Fermi level is 6.781 states/eV per cell.

Entry 6:
Here is crystalline ReBi2OsF at its relaxed geometry from Alexandria. Energies are from PBE.

Structure (extended XYZ):
```
5
Lattice="4.9913 0.0000 0.0000 0.0000 4.9913 0.0000 0.0000 0.0000 3.9695" Properties=species:S:1:pos:R:3 pbc="T T T"
Re 0.0000 0.0000 0.0000
Bi 0.0000 2.4956 1.9848
Bi 2.4956 0.0000 1.9848
Os 2.4956 2.4956 0.0000
F 0.0000 0.0000 1.9848
```

## Properties
The density comes out at 13.7 g/cm³. Its distance to the lowest polymorph of the same formula is 0.1286 eV/atom. The formation energy without anion corrections is 1.110 eV per atom. Its density of states at the Fermi level is 6.243 states/eV per cell.